The following is a DFT calculation (PBE) of Sb2PIrI after structural relaxation.

```
data_Sb2PIrI
_chemical_formula_sum 'Sb2 P1 Ir1 I1'
_space_group_name_H-M_alt 'P 1'
_space_group_IT_number 1
_cell_length_a 5.1192
_cell_length_b 5.1192
_cell_length_c 5.0482
_cell_angle_alpha 90.00
_cell_angle_beta 90.00
_cell_angle_gamma 90.00
loop_
_space_group_symop_operation_xyz
'x,y,z'
loop_
_atom_site_label
_atom_site_type_symbol
_atom_site_fract_x
_atom_site_fract_y
_atom_site_fract_z
Sb1 Sb 0.5000 0.0000 0.0000
I1 I 0.0000 0.0000 0.5000
P1 P 0.0000 0.0000 0.0000
Ir1 Ir 0.5000 0.5000 0.5000
Sb2 Sb 0.0000 0.5000 0.0000
```

Output
Its uncorrected formation energy is 6.5 eV/f.u. The distance to the lowest polymorph of the same formula comes out at 0.457 eV per atom. For the total energy, the calculation gives -3.509 eV per atom. The density of states at the Fermi level is 4.5 states/eV/cell. The calculation puts the theoretical density at 7.451 Mg/m³.